# PBE Li2BeCuTc, relaxed
data_Li2BeCuTc
_cell_length_a 4.045
_cell_length_b 4.045
_cell_length_c 4.236
_cell_angle_alpha 90.00
_cell_angle_beta 90.00
_cell_angle_gamma 90.00
_symmetry_space_group_name_H-M 'P 4/m m m'
_symmetry_Int_Tables_number 123
_symmetry_space_group_name_Hall '-P 4 2'
loop_
_atom_site_label
_atom_site_fract_x
_atom_site_fract_y
_atom_site_fract_z
_atom_site_occupancy
Li1 0.000 0.500 0.000 1
Be1 0.000 0.000 0.000 1
Cu1 0.500 0.500 0.500 1
Tc1 0.000 0.000 0.500 1
# - Energy of formation from the pure elements: 68 kJ per mole of atoms
# - Mass density: 4.42 g/cm3
# - Raw total energy: -18.52 eV/cell


# PBE Ce2GdPb, relaxed
data_Ce2GdPb
_cell_length_a 7.834
_cell_length_b 7.834
_cell_length_c 7.834
_cell_angle_alpha 90.00
_cell_angle_beta 90.00
_cell_angle_gamma 90.00
_symmetry_space_group_name_H-M 'F m -3 m'
_symmetry_Int_Tables_number 225
_symmetry_space_group_name_Hall '-F 4 2 3'
loop_
_atom_site_label
_atom_site_fract_x
_atom_site_fract_y
_atom_site_fract_z
_atom_site_occupancy
Ce1 0.250 0.250 0.250 1
Gd1 0.000 0.000 0.000 1
Pb1 0.000 0.000 0.500 1
# - Energy relative to the lowest polymorph listed for this composition: 185.4 meV/atom
# - Energy of formation from the pure elements: -8 kJ per mole of atoms
# - Mass density: 8.91 g/cm3
# - Raw total energy: -119.97 eV/cell


# PBE Sm2P2Ru2N, relaxed
data_Sm2P2Ru2N
_cell_length_a 11.311
_cell_length_b 3.890
_cell_length_c 6.733
_cell_angle_alpha 90.00
_cell_angle_beta 126.15
_cell_angle_gamma 90.00
_symmetry_space_group_name_H-M 'C 1 2/m 1'
_symmetry_Int_Tables_number 12
loop_
_symmetry_equiv_pos_as_xyz
'x,y,z'
'-x,-y,-z'
'-x,y,-z'
'x,-y,z'
'x+1/2,y+1/2,z'
'-x+1/2,-y+1/2,-z'
'-x+1/2,y+1/2,-z'
'x+1/2,-y+1/2,z'
loop_
_atom_site_label
_atom_site_fract_x
_atom_site_fract_y
_atom_site_fract_z
_atom_site_occupancy
Sm1 0.063 0.000 0.299 1
P1 0.178 0.500 0.709 1
Ru1 0.202 0.500 0.091 1
N1 0.000 0.500 0.000 1
# - ΔE_f (raw): -0.974 eV per atom
# - Mass density: 8.03 g/cm3
# - Raw total energy: -107.91 eV/cell


# PBE YSbTe2N, relaxed
data_YSbTe2N
_cell_length_a 5.853
_cell_length_b 5.853
_cell_length_c 5.942
_cell_angle_alpha 90.00
_cell_angle_beta 90.00
_cell_angle_gamma 90.00
_symmetry_space_group_name_H-M 'P 4/m m m'
_symmetry_Int_Tables_number 123
_symmetry_space_group_name_Hall '-P 4 2'
loop_
_atom_site_label
_atom_site_fract_x
_atom_site_fract_y
_atom_site_fract_z
_atom_site_occupancy
Y1 0.000 0.000 0.000 1
Sb1 0.000 0.000 0.500 1
Te1 0.000 0.500 0.000 1
N1 0.500 0.500 0.500 1
# - Energy relative to the lowest polymorph listed for this composition: 966.0 meV/atom
# - ΔE_f (raw): 0.975 eV per atom
# - Mass density: 3.91 g/cm3
# - Raw total energy: -20.32 eV/cell


# PBE Cu4TeIr, relaxed
data_Cu4TeIr
_cell_length_a 6.977
_cell_length_b 6.977
_cell_length_c 6.977
_cell_angle_alpha 90.00
_cell_angle_beta 90.00
_cell_angle_gamma 90.00
_symmetry_space_group_name_H-M 'F -4 3 m'
_symmetry_Int_Tables_number 216
_symmetry_space_group_name_Hall 'F -4 2 3'
loop_
_atom_site_label
_atom_site_fract_x
_atom_site_fract_y
_atom_site_fract_z
_atom_site_occupancy
Cu1 0.124 0.124 0.124 1
Te1 0.000 0.000 0.500 1
Ir1 0.250 0.250 0.750 1
# - ΔE_f (raw): 0.247 eV per atom
# - Mass density: 11.23 g/cm3
# - Raw total energy: -107.63 eV/cell


# PBE Na2BeB2O5, relaxed
data_Na2BeB2O5
_cell_length_a 5.909
_cell_length_b 8.166
_cell_length_c 9.114
_cell_angle_alpha 90.00
_cell_angle_beta 98.20
_cell_angle_gamma 90.00
_symmetry_space_group_name_H-M 'C 1 2/c 1'
_symmetry_Int_Tables_number 15
loop_
_symmetry_equiv_pos_as_xyz
'x,y,z'
'-x,-y,-z'
'-x,y,-z+1/2'
'x,-y,z+1/2'
'x+1/2,y+1/2,z'
'-x+1/2,-y+1/2,-z'
'-x+1/2,y+1/2,-z+1/2'
'x+1/2,-y+1/2,z+1/2'
loop_
_atom_site_label
_atom_site_fract_x
_atom_site_fract_y
_atom_site_fract_z
_atom_site_occupancy
Na1 0.010 0.195 0.072 1
Be1 0.000 0.211 0.750 1
B1 0.166 0.494 0.678 1
O1 0.000 0.424 0.250 1
O2 0.152 0.329 0.656 1
O3 0.165 0.089 0.867 1
# - ΔE_f (raw): -2.380 eV per atom
# - Mass density: 2.39 g/cm3
# - Raw total energy: -273.23 eV/cell


# PBE MgCd2, relaxed
data_MgCd2
_cell_length_a 5.0067
_cell_length_b 5.0067
_cell_length_c 6.1049
_cell_angle_alpha 90.00
_cell_angle_beta 90.00
_cell_angle_gamma 120.00
_symmetry_space_group_name_H-M 'P 63/m m c'
_symmetry_Int_Tables_number 194
_symmetry_space_group_name_Hall '-P 6c 2c'
loop_
_atom_site_label
_atom_site_fract_x
_atom_site_fract_y
_atom_site_fract_z
_atom_site_occupancy
Mg1 0.3333 0.6667 0.2500 1
Cd1 0.0000 0.0000 0.0000 1
Cd2 0.3333 0.6667 0.7500 1
# - Energy of formation from the pure elements: -2 kJ per mole of atoms
# - Mass density: 6.24 g/cm3
# - Raw total energy: -6.98 eV/cell


# PBE Hg12Te5S3, relaxed
data_Hg12Te5S3
_cell_length_a 17.063
_cell_length_b 17.063
_cell_length_c 17.063
_cell_angle_alpha 90.00
_cell_angle_beta 90.00
_cell_angle_gamma 90.00
_symmetry_space_group_name_H-M 'I a -3 d'
_symmetry_Int_Tables_number 230
_symmetry_space_group_name_Hall '-I 4bd 2c 3'
loop_
_atom_site_label
_atom_site_fract_x
_atom_site_fract_y
_atom_site_fract_z
_atom_site_occupancy
Hg1 0.024 0.093 0.649 1
Te1 0.000 0.000 0.000 1
Te2 0.000 0.250 0.375 1
S1 0.000 0.250 0.125 1
# - ΔE_f (raw): 0.084 eV per atom
# - Mass density: 8.40 g/cm3
# - Raw total energy: -240.22 eV/cell


# PBE BeCS, relaxed
data_BeCS
_cell_length_a 6.233
_cell_length_b 2.527
_cell_length_c 6.543
_cell_angle_alpha 90.00
_cell_angle_beta 116.23
_cell_angle_gamma 90.00
_symmetry_space_group_name_H-M 'P 1 m 1'
_symmetry_Int_Tables_number 6
loop_
_symmetry_equiv_pos_as_xyz
'x,y,z'
'x,-y,z'
loop_
_atom_site_label
_atom_site_fract_x
_atom_site_fract_y
_atom_site_fract_z
_atom_site_occupancy
Be1 0.000 0.000 0.000 1
Be2 0.399 0.000 0.026 1
C1 0.623 0.500 0.022 1
C2 0.716 0.000 0.013 1
S1 0.041 0.500 0.756 1
S2 0.314 0.000 0.294 1
# - ΔE_f (raw): 0.106 eV per atom
# - Mass density: 1.91 g/cm3
# - Raw total energy: -33.52 eV/cell


# PBE SrLuMgIn, relaxed
data_SrLuMgIn
_cell_length_a 7.769
_cell_length_b 7.769
_cell_length_c 7.769
_cell_angle_alpha 90.00
_cell_angle_beta 90.00
_cell_angle_gamma 90.00
_symmetry_space_group_name_H-M 'F -4 3 m'
_symmetry_Int_Tables_number 216
_symmetry_space_group_name_Hall 'F -4 2 3'
loop_
_atom_site_label
_atom_site_fract_x
_atom_site_fract_y
_atom_site_fract_z
_atom_site_occupancy
Sr1 0.000 0.000 0.000 1
Lu1 0.000 0.000 0.500 1
Mg1 0.250 0.250 0.250 1
In1 0.250 0.250 0.750 1
# - Energy of formation from the pure elements: -19 kJ per mole of atoms
# - Mass density: 5.69 g/cm3
# - Raw total energy: -45.37 eV/cell


# PBE Dy2HoEr4Tm, relaxed
data_Dy2HoEr4Tm
_cell_length_a 4.955
_cell_length_b 4.955
_cell_length_c 9.927
_cell_angle_alpha 90.00
_cell_angle_beta 90.00
_cell_angle_gamma 90.00
_symmetry_space_group_name_H-M 'P 4/m m m'
_symmetry_Int_Tables_number 123
_symmetry_space_group_name_Hall '-P 4 2'
loop_
_atom_site_label
_atom_site_fract_x
_atom_site_fract_y
_atom_site_fract_z
_atom_site_occupancy
Dy1 0.000 0.000 0.000 1
Dy2 0.500 0.500 0.500 1
Ho1 0.000 0.000 0.500 1
Er1 0.000 0.500 0.249 1
Tm1 0.500 0.500 0.000 1
# - Energy of formation from the pure elements: 2 kJ per mole of atoms
# - Mass density: 9.05 g/cm3
# - Raw total energy: -36.33 eV/cell


# PBE La5InHg3, relaxed
data_La5InHg3
_cell_length_a 9.6715
_cell_length_b 9.6715
_cell_length_c 6.9193
_cell_angle_alpha 90.00
_cell_angle_beta 90.00
_cell_angle_gamma 120.00
_symmetry_space_group_name_H-M 'P 63/m c m'
_symmetry_Int_Tables_number 193
_symmetry_space_group_name_Hall '-P 6c 2'
loop_
_atom_site_label
_atom_site_fract_x
_atom_site_fract_y
_atom_site_fract_z
_atom_site_occupancy
La1 0.0000 0.2938 0.2500 1
La2 0.3333 0.6667 0.0000 1
In1 0.0000 0.0000 0.0000 1
Hg1 0.0000 0.3694 0.7500 1
# - Energy of formation from the pure elements: -38 kJ per mole of atoms
# - Mass density: 8.36 g/cm3
# - Raw total energy: -63.70 eV/cell